Record 1
{
  "formula": "LiTc2Br8",
  "functional": "PBE",
  "state": "relaxed",
  "lattice": [[6.089, 0.000, 0.000], [-0.890, 7.245, 0.000], [-0.435, -2.158, 7.602]],
  "species": ["Li", "Tc", "Tc", "Br", "Br", "Br", "Br", "Br", "Br", "Br", "Br"],
  "frac_coords": [[0.000, 0.000, 0.000], [0.069, 0.996, 0.467], [0.481, 0.990, 0.662], [0.144, 0.746, 0.619], [0.157, 0.784, 0.182], [0.385, 0.194, 0.949], [0.405, 0.237, 0.511], [0.640, 0.776, 0.836], [0.663, 0.808, 0.392], [0.885, 0.184, 0.738], [0.915, 0.213, 0.295]],
  "formation_energy_uncorrected_ev_per_atom": -0.548,
  "spacegroup": "No. 1",
  "vol_a3_per_atom": 30.485,
  "relative_energy_mev_per_atom": 0,
  "magnetic_moment_mub_per_fu": 3.05,
  "dos_ef_per_ev_atom": 0.254
}



Record 2
{
  "formula": "AlAgHg2P",
  "functional": "PBE",
  "state": "relaxed",
  "lattice": [[5.310, 0.000, 0.000], [0.000, 5.310, 0.000], [0.000, 0.000, 4.901]],
  "species": ["Al", "Ag", "Hg", "Hg", "P"],
  "frac_coords": [[0.000, 0.000, 0.000], [0.000, 0.000, 0.500], [0.000, 0.500, 0.500], [0.500, 0.000, 0.500], [0.500, 0.500, 0.000]],
  "spacegroup": "No. 123",
  "vol_a3_per_atom": 27.638,
  "magnetic_moment_mub_per_fu": 1.08,
  "dos_ef_per_ev_atom": 0.681,
  "formation_energy_ev_per_atom": 0.7862
}



Record 3
{
  "formula": "KSiAsSe",
  "functional": "PBE",
  "state": "relaxed",
  "lattice": [[7.400, -1.898, 0.000], [7.400, 1.898, 0.000], [-0.964, 0.000, 3.721]],
  "species": ["K", "Si", "As", "Se"],
  "frac_coords": [[0.000, 0.000, 0.000], [0.247, 0.247, 0.740], [0.649, 0.649, 0.642], [0.350, 0.350, 0.355]],
  "formation_energy_uncorrected_ev_per_atom": -0.409,
  "spacegroup": "No. 8",
  "vol_a3_per_atom": 26.140,
  "relative_energy_mev_per_atom": 0,
  "magnetic_moment_mub_per_fu": 0.00,
  "dos_ef_per_ev_atom": 0.296
}



Record 4
{
  "formula": "SrMo4As",
  "functional": "PBE",
  "state": "relaxed",
  "lattice": [[0.000, 3.854, 3.854], [3.854, 0.000, 3.854], [3.854, 3.854, 0.000]],
  "species": ["Sr", "Mo", "Mo", "Mo", "Mo", "As"],
  "frac_coords": [[0.000, 0.000, 0.000], [0.377, 0.377, 0.377], [0.377, 0.377, 0.868], [0.377, 0.868, 0.377], [0.868, 0.377, 0.377], [0.750, 0.750, 0.750]],
  "spacegroup": "No. 216",
  "vol_a3_per_atom": 19.086,
  "magnetic_moment_mub_per_fu": 0.00,
  "dos_ef_per_ev_atom": 1.059,
  "formation_energy_ev_per_atom": 0.6871
}



Record 5
{
  "formula": "RbPa4Rh3S12",
  "functional": "PBE",
  "state": "relaxed",
  "lattice": [[-4.871, 4.871, 4.871], [4.871, -4.871, 4.871], [4.871, 4.871, -4.871]],
  "species": ["Rb", "Pa", "Pa", "Pa", "Pa", "Rh", "Rh", "Rh", "S", "S", "S", "S", "S", "S", "S", "S", "S", "S", "S", "S"],
  "frac_coords": [[0.000, 0.000, 0.000], [0.000, 0.000, 0.500], [0.000, 0.500, 0.000], [0.500, 0.000, 0.000], [0.500, 0.500, 0.500], [0.000, 0.500, 0.500], [0.500, 0.000, 0.500], [0.500, 0.500, 0.000], [0.159, 0.839, 0.320], [0.161, 0.320, 0.482], [0.161, 0.680, 0.841], [0.320, 0.159, 0.839], [0.320, 0.482, 0.161], [0.482, 0.161, 0.320], [0.518, 0.839, 0.680], [0.680, 0.518, 0.839], [0.680, 0.841, 0.161], [0.839, 0.320, 0.159], [0.839, 0.680, 0.518], [0.841, 0.161, 0.680]],
  "formation_energy_uncorrected_ev_per_atom": -1.105,
  "spacegroup": "No. 204",
  "vol_a3_per_atom": 23.112,
  "magnetic_moment_mub_per_fu": 0.00
}



Record 6
{
  "formula": "Ho8Tc2Pd",
  "functional": "PBE",
  "state": "relaxed",
  "lattice": [[4.216, -6.346, 0.000], [4.216, 6.346, 0.000], [-1.914, 0.000, 5.454]],
  "species": ["Ho", "Ho", "Ho", "Ho", "Ho", "Ho", "Ho", "Ho", "Tc", "Tc", "Pd"],
  "frac_coords": [[0.000, 0.000, 0.000], [0.028, 0.292, 0.600], [0.150, 0.585, 0.196], [0.292, 0.028, 0.600], [0.444, 0.706, 0.795], [0.585, 0.150, 0.196], [0.706, 0.444, 0.795], [0.741, 0.741, 0.393], [0.058, 0.678, 0.698], [0.678, 0.058, 0.698], [0.372, 0.372, 0.084]],
  "spacegroup": "No. 8",
  "vol_a3_per_atom": 26.530,
  "magnetic_moment_mub_per_fu": 0.00,
  "dos_ef_per_ev_atom": 0.801,
  "formation_energy_ev_per_atom": -0.1714
}